# 1
Sm2Tc2N5: optimized geometry, PBE-GGA.

Calculated values
Energy relative to the elements, uncorrected   -546 meV/atom

Unit cell a=11.2300 b=3.9673 c=5.8868 alpha=90.00 beta=108.52 gamma=90.00
Closest atoms and distances in Å follow each position.
Space group C2/m (No. 12)
Inequivalent atoms, fractional coordinates:
Sm 0.1174 0.0000 0.3065 [4 per cell]  4 N 2.41-2.44
Tc 0.1384 0.5000 0.8579 [4 per cell]  5 N 1.88-2.06
N 0.0000 0.5000 0.0000 [2 per cell]  2 Tc 1.99
N 0.1563 0.5000 0.5518 [4 per cell]  1 Tc 1.88
N 0.1782 0.0000 0.9429 [4 per cell]  3 Tc 2.02-2.06

---

# 2
Cs2Y2SnS6: optimized geometry, PBE-GGA.

Calculated values
Energy relative to the elements, uncorrected   -1449 meV/atom

Unit cell a=6.9000 b=11.8858 c=8.6290 alpha=90.00 beta=106.09 gamma=90.00
Closest atoms and distances in Å follow each position.
Space group C2/m (No. 12)
Inequivalent atoms, fractional coordinates:
Cs 0.0000 0.1701 0.0000 [4 per cell]  6 S 3.51-3.55
Y 0.0000 0.3326 0.5000 [4 per cell]  6 S 2.76-2.78
Sn 0.0000 0.0000 0.5000 [2 per cell]  6 S 2.61-2.63
S 0.2213 0.1588 0.6773 [8 per cell]  1 Sn 2.63, 2 Y 2.76-2.77
S 0.2463 0.5000 0.6748 [4 per cell]  1 Sn 2.61, 2 Y 2.78

---

# 3
ErZrIr: optimized geometry, PBE-GGA.

Calculated values
ΔE to the lowest computed polymorph   53.6 meV per atom
E_form   -0.662 eV per atom

Unit cell a=4.5789 b=4.5789 c=6.6754 alpha=90.00 beta=90.00 gamma=90.00
Closest atoms and distances in Å follow each position.
Space group P4/nmm (No. 129, origin choice 2)
Inequivalent atoms, fractional coordinates:
Er 0.2500 0.2500 0.1312 [2 per cell]  1 Ir 2.78
Zr 0.2500 0.7500 0.5000 [2 per cell]  4 Ir 2.70
Ir 0.2500 0.2500 0.7154 [2 per cell]  4 Zr 2.70, 1 Er 2.78

---

# 4
KRhN2: optimized geometry, PBE-GGA.

Calculated values
Energy relative to the elements, uncorrected   1104 meV/atom
ΔE to the lowest computed polymorph   708.4 meV per atom

Unit cell a=3.5557 b=3.5557 c=21.6814 alpha=90.00 beta=90.00 gamma=120.00
Closest atoms and distances in Å follow each position.
Space group R-3m (No. 166, hexagonal axes)
Inequivalent atoms, fractional coordinates:
K 0.0000 0.0000 0.0000 [3 per cell]  6 N 2.76
Rh 0.0000 0.0000 0.5000 [3 per cell]  2 N 1.76
N 0.0000 0.0000 0.4187 [6 per cell]  1 Rh 1.76

---

# 5
Li3LaPt: optimized geometry, PBE-GGA.

Calculated values
ΔE to the lowest computed polymorph   277.7 meV per atom
E_form   -0.117 eV per atom

Unit cell a=4.7623 b=4.7623 c=4.7623 alpha=90.00 beta=90.00 gamma=90.00
Closest atoms and distances in Å follow each position.
Space group Pm-3m (No. 221)
Inequivalent atoms, fractional coordinates:
Li 0.0000 0.0000 0.5000 [3 per cell]  2 Pt 2.38
La 0.5000 0.5000 0.5000 [1 per cell]  12 Li 3.37
Pt 0.0000 0.0000 0.0000 [1 per cell]  6 Li 2.38

---

# 6
CeInPt: optimized geometry, PBE-GGA.

Calculated values
E_form   -0.788 eV per atom

Unit cell a=6.7604 b=6.7604 c=6.7604 alpha=90.00 beta=90.00 gamma=90.00
Closest atoms and distances in Å follow each position.
Space group F-43m (No. 216)
Inequivalent atoms, fractional coordinates:
Ce 0.0000 0.0000 0.0000 [4 per cell]  4 Pt 2.93
In 0.0000 0.0000 0.5000 [4 per cell]  4 Pt 2.93
Pt 0.2500 0.2500 0.7500 [4 per cell]  4 In 2.93, 4 Ce 2.93

---

# 7
Pr6Tl3Rh: optimized geometry, PBE-GGA.

Calculated values
E_form   -0.328 eV per atom

Unit cell a=5.5169 b=9.3594 c=13.1841 alpha=90.00 beta=114.70 gamma=90.00
Closest atoms and distances in Å follow each position.
Space group P2_1/c (No. 14)
Inequivalent atoms, fractional coordinates:
Pr 0.0701 0.1906 0.0712 [4 per cell]  1 Rh 3.02
Pr 0.2395 0.5093 0.2378 [4 per cell]  1 Rh 2.85, 4 Tl 3.14-3.17
Pr 0.4178 0.1544 0.4199 [4 per cell]  2 Rh 3.25-3.27, 2 Tl 3.37-3.60, 5 Pr 3.47-3.61
Tl 0.2395 0.6553 0.7410 [4 per cell]  3 Pr 3.14-3.17
Tl 0.5000 0.0000 0.0000 [2 per cell]  8 Pr 3.14-3.40
Rh 0.0000 0.0000 0.5000 [2 per cell]  4 Pr 2.85-3.02

---

# 8
ThTiBe17: optimized geometry, PBE-GGA.

Calculated values
E_form   -0.091 eV per atom

Unit cell a=7.6557 b=7.6557 c=11.1778 alpha=90.00 beta=90.00 gamma=120.00
Closest atoms and distances in Å follow each position.
Space group R3m (No. 160, hexagonal axes)
Inequivalent atoms, fractional coordinates:
Th 0.0000 0.0000 0.0000 [3 per cell]  19 Be 2.79-2.98
Ti 0.0000 0.0000 0.3265 [3 per cell]  16 Be 2.61-2.85
Be 0.0000 0.0000 0.5601 [3 per cell]  7 Be 2.12-2.31
Be 0.0000 0.0000 0.7501 [3 per cell]  1 Be 2.12
Be 0.0046 0.5023 0.1576 [9 per cell]  10 Be 2.15-2.39
Be 0.0543 0.3822 0.3263 [18 per cell]  6 Be 2.10-2.29
Be 0.1681 0.3361 0.8358 [9 per cell]  9 Be 2.24-2.43
Be 0.1713 0.3425 0.1535 [9 per cell]  7 Be 2.16-2.30